## KSc2CoO (PBE with a Hubbard U)

Data for crystalline KSc2CoO at its relaxed geometry.

total moment: 0.00 Bohr magnetons per cell
raw total energy: -5.08 eV per atom

a = 4.297 Å, b = 4.297 Å, c = 5.028 Å
α = 90.00°, β = 90.00°, γ = 90.00°
Space group P4/mmm (No. 123)
One atom of each set of equivalent atoms:
K 0.000 0.000 0.000
Sc 0.000 0.500 0.500
Co 0.500 0.500 0.000
O 0.000 0.000 0.500